Entry from Alexandria: a relaxed structure of GaFe3Re (PBE-GGA).

extended XYZ file:
```
5
Lattice="-1.035 -4.357 -0.597 1.037 0.354 -4.383 4.274 -1.141 0.918" Properties=species:S:1:pos:R:3 pbc="T T T"
Fe 2.137 -0.571 0.459
Fe 0.518 0.177 -2.192
Fe -0.518 -2.179 -0.298
Ga 2.138 -2.572 -2.031
Re 0.000 0.000 0.000
```

Output
* total magnetization: 1.1343 μB per atom
* space-group type: Pm-3m
* Fermi-level density of states: 6.5 states/eV/f.u.
* density: 7625 kg/m³
* excess energy over the best structure of this formula in the dataset: 0.00 eV per formula unit
* formation energy from the elements: 1.419 eV/atom